DFT (PBE-GGA) results for a relaxed structure of HgBiMo2Pd.

The space group is P4/mmm (No. 123) and the conventional cell measures 5.030, 5.030 and 5.144 Å, with angles of 90.00, 90.00 and 90.00 degrees. The inequivalent atoms are Hg at (0.000, 0.000, 0.000), Bi at (0.500, 0.500, 0.000), Mo at (0.000, 0.500, 0.500) and Pd at (0.500, 0.500, 0.500).

The energy relative to the elements comes out at 7.706 eV/f.u. The volume comes out at 130 Å³ per cell. For the total DFT energy (no corrections), the calculation gives -23.3 eV for the cell shown. The theoretical density is 9033 kg/m3.

---

DFT (PBE-GGA) results for a relaxed structure of HgBi2MoS.

The space group is P4/mmm (No. 123) and the conventional cell measures 5.322, 5.322 and 5.347 Å, with angles of 90.00, 90.00 and 90.00 degrees. The inequivalent atoms are Hg at (0.000, 0.000, 0.000), Bi at (0.000, 0.500, 0.500), Mo at (0.000, 0.000, 0.500) and S at (0.500, 0.500, 0.000).

Its uncorrected formation energy is 3.6 eV/f.u. The volume comes out at 151 Å³ per cell. For the total DFT energy (no corrections), the calculation gives -19.5 eV for the cell shown. The theoretical density is 8185 kg/m3.